An optimized crystal structure of Nd2Ni12P5. Source: Alexandria, functional PBEsol.

E_form = -0.746 eV/atom

The structure in POSCAR format:
```
Nd2Ni12P5
1.0
3.626 0.000 0.000
0.000 10.700 0.000
0.000 -3.998 12.342
Ni P Nd
24 10 4
Direct
0.250 0.298 0.082 Ni
0.750 0.714 0.439 Ni
0.250 0.070 0.985 Ni
0.750 0.005 0.659 Ni
0.750 0.930 0.015 Ni
0.750 0.159 0.137 Ni
0.250 0.991 0.151 Ni
0.750 0.404 0.696 Ni
0.250 0.563 0.797 Ni
0.250 0.995 0.341 Ni
0.250 0.596 0.304 Ni
0.750 0.936 0.448 Ni
0.750 0.437 0.203 Ni
0.750 0.159 0.438 Ni
0.250 0.579 0.490 Ni
0.750 0.418 0.009 Ni
0.250 0.286 0.561 Ni
0.750 0.702 0.918 Ni
0.250 0.582 0.991 Ni
0.250 0.064 0.552 Ni
0.250 0.841 0.863 Ni
0.750 0.421 0.510 Ni
0.750 0.009 0.849 Ni
0.250 0.841 0.562 Ni
0.750 0.199 0.983 P
0.250 0.801 0.017 P
0.250 0.509 0.129 P
0.750 0.506 0.378 P
0.750 0.188 0.613 P
0.250 0.494 0.622 P
0.750 0.050 0.260 P
0.250 0.950 0.740 P
0.750 0.491 0.871 P
0.250 0.812 0.387 P
0.750 0.754 0.188 Nd
0.250 0.246 0.812 Nd
0.250 0.280 0.317 Nd
0.750 0.720 0.683 Nd
```

An optimized crystal structure of Nd6Ni20P13. Source: Alexandria, functional PBEsol.

E_form = -0.946 eV/atom

The structure in POSCAR format:
```
Nd6Ni20P13
1.0
-0.742 3.565 1.051
-4.553 2.446 -11.518
-7.694 -4.269 9.053
P Ni Nd
13 20 6
Direct
0.000 0.957 0.235 P
0.000 0.614 0.133 P
0.500 0.481 0.613 P
0.000 0.000 0.000 P
0.000 0.277 0.043 P
0.500 0.232 0.272 P
0.500 0.041 0.768 P
0.500 0.387 0.867 P
0.000 0.867 0.480 P
0.000 0.765 0.723 P
0.500 0.728 0.959 P
0.500 0.133 0.519 P
0.000 0.520 0.386 P
0.500 0.688 0.758 Ni
0.500 0.932 0.077 Ni
0.500 0.333 0.667 Ni
0.500 0.976 0.565 Ni
0.000 0.760 0.078 Ni
0.000 0.562 0.586 Ni
0.500 0.923 0.855 Ni
0.500 0.242 0.930 Ni
0.500 0.145 0.068 Ni
0.000 0.414 0.976 Ni
0.000 0.922 0.682 Ni
0.000 0.318 0.240 Ni
0.000 0.106 0.194 Ni
0.000 0.024 0.438 Ni
0.500 0.435 0.410 Ni
0.000 0.088 0.894 Ni
0.500 0.590 0.024 Ni
0.000 0.667 0.333 Ni
0.500 0.070 0.312 Ni
0.000 0.806 0.912 Ni
0.500 0.467 0.186 Nd
0.000 0.186 0.718 Nd
0.000 0.532 0.814 Nd
0.500 0.814 0.281 Nd
0.500 0.719 0.533 Nd
0.000 0.282 0.468 Nd
```

An optimized crystal structure of NdNi2P2. Source: Alexandria, functional PBEsol.

E_form = -1.076 eV/atom

The structure in POSCAR format:
```
NdNi2P2
1.0
3.906 0.000 0.000
0.000 3.906 0.000
-1.953 -1.953 4.702
P Ni Nd
2 2 1
Direct
0.628 0.628 0.256 P
0.372 0.372 0.744 P
0.250 0.750 0.500 Ni
0.750 0.250 0.500 Ni
0.000 0.000 0.000 Nd
```

An optimized crystal structure of Nd12Ni6Pb. Source: Alexandria, functional PBEsol.

E_form = -0.275 eV/atom

The structure in POSCAR format:
```
Nd12Ni6Pb
1.0
8.567 0.000 0.000
-2.856 8.077 0.000
-2.856 -4.039 6.995
Nd Ni Pb
12 6 1
Direct
0.187 0.693 0.880 Nd
0.493 0.187 0.307 Nd
0.693 0.880 0.187 Nd
0.880 0.187 0.693 Nd
0.693 0.507 0.813 Nd
0.120 0.813 0.307 Nd
0.813 0.693 0.507 Nd
0.307 0.493 0.187 Nd
0.813 0.307 0.120 Nd
0.307 0.120 0.813 Nd
0.187 0.307 0.493 Nd
0.507 0.813 0.693 Nd
0.879 0.379 0.500 Ni
0.621 0.500 0.121 Ni
0.121 0.621 0.500 Ni
0.379 0.500 0.879 Ni
0.500 0.879 0.379 Ni
0.500 0.121 0.621 Ni
0.000 0.000 0.000 Pb
```

An optimized crystal structure of NdNiSb. Source: Alexandria, functional PBEsol.

VASP energy = -6.14 eV per atom

The structure in POSCAR format:
```
NdNiSb
1.0
-2.161 3.388 1.569
-2.146 -3.488 -1.356
0.443 -3.186 7.492
Sb Ni Nd
2 2 2
Direct
0.333 0.667 0.250 Sb
0.667 0.333 0.750 Sb
0.667 0.333 0.250 Ni
0.333 0.667 0.750 Ni
0.000 0.000 0.500 Nd
0.000 0.000 0.000 Nd
```

An optimized crystal structure of NdNiSb2. Source: Alexandria, functional PBEsol.

VASP energy = -5.88 eV per atom

The structure in POSCAR format:
```
NdNiSb2
1.0
4.346 0.000 0.000
0.000 4.346 0.000
0.000 0.000 9.586
Sb Nd Ni
4 2 2
Direct
0.500 0.000 0.135 Sb
0.500 0.500 0.500 Sb
0.000 0.000 0.500 Sb
0.000 0.500 0.865 Sb
0.000 0.500 0.240 Nd
0.500 0.000 0.760 Nd
0.500 0.500 0.000 Ni
0.000 0.000 0.000 Ni
```